Computed, not measured: Zr6In3Co after structural relaxation at the PBE level of DFT.

Cell lengths 6.064, 6.064, 7.181 Å; angles 101.73, 101.73, 63.00 degrees
Positions (direct):
1 Zr 0.127 0.634 0.651
2 Zr 0.349 0.349 0.141
3 Zr 0.366 0.873 0.349
4 Zr 0.634 0.127 0.651
5 Zr 0.651 0.651 0.859
6 Zr 0.873 0.366 0.349
7 In 0.000 0.000 0.000
8 In 0.157 0.157 0.729
9 In 0.843 0.843 0.271
10 Co 0.500 0.500 0.500

Computed properties:
Calculated formation energy, eV per atom: -0.010
Spin magnetization, μB/cell: 0.0
Crystal system: monoclinic
SG: C2/m (12)